Below is an optimized crystal structure of KAgHg, with properties calculated at the PBE level.

```
data_KAgHg
_symmetry_space_group_name_H-M 'P 1'
_symmetry_Int_Tables_number 1
_cell_length_a 5.5734
_cell_length_b 5.5734
_cell_length_c 5.5734
_cell_angle_alpha 60.00
_cell_angle_beta 60.00
_cell_angle_gamma 60.00
loop_
_symmetry_equiv_pos_as_xyz
'x,y,z'
loop_
_atom_site_label
_atom_site_type_symbol
_atom_site_fract_x
_atom_site_fract_y
_atom_site_fract_z
K1 K 0.0000 0.0000 0.0000
Ag1 Ag 0.2500 0.2500 0.2500
Hg1 Hg 0.7500 0.7500 0.7500
```

Values from the calculation:
For the polymorph energy (0 for the lowest one), the calculation gives 25.90 kJ per mole of atoms. The space group is F-43m (216). The crystal system is cubic. As for the total energy: -1.259 eV/atom. The formation energy comes out at 0.47 eV per formula unit. The calculation puts the calculated density at 4714 kg/m3.

---

Below is an optimized crystal structure of KAg2Hg6, with properties calculated at the PBE level.

```
data_KAg2Hg6
_symmetry_space_group_name_H-M 'P 1'
_symmetry_Int_Tables_number 1
_cell_length_a 7.8251
_cell_length_b 7.8251
_cell_length_c 4.9152
_cell_angle_alpha 107.87
_cell_angle_beta 107.87
_cell_angle_gamma 71.99
loop_
_symmetry_equiv_pos_as_xyz
'x,y,z'
loop_
_atom_site_label
_atom_site_type_symbol
_atom_site_fract_x
_atom_site_fract_y
_atom_site_fract_z
K1 K 0.0000 0.0000 0.0000
Ag1 Ag 0.2890 0.2890 0.2865
Ag2 Ag 0.7110 0.7110 0.7135
Hg1 Hg 0.0672 0.3920 0.7292
Hg2 Hg 0.3241 0.6759 0.5000
Hg3 Hg 0.3920 0.0672 0.7292
Hg4 Hg 0.6080 0.9328 0.2708
Hg5 Hg 0.6759 0.3241 0.5000
Hg6 Hg 0.9328 0.6080 0.2708
```

Values from the calculation:
The space group is C2/m (12). The crystal system is monoclinic. As for the total energy: -0.976 eV/atom. The formation energy comes out at -0.17 eV per formula unit. The calculation puts the calculated density at 9144 kg/m3.

---

Below is an optimized crystal structure of KAg2Hg2, with properties calculated at the PBE level.

```
data_KAg2Hg2
_symmetry_space_group_name_H-M 'P 1'
_symmetry_Int_Tables_number 1
_cell_length_a 6.4036
_cell_length_b 6.9245
_cell_length_c 7.8155
_cell_angle_alpha 79.71
_cell_angle_beta 69.19
_cell_angle_gamma 62.81
loop_
_symmetry_equiv_pos_as_xyz
'x,y,z'
loop_
_atom_site_label
_atom_site_type_symbol
_atom_site_fract_x
_atom_site_fract_y
_atom_site_fract_z
K1 K 0.1366 0.2247 0.2477
K2 K 0.8634 0.7753 0.7523
Ag1 Ag 0.2632 0.7825 0.9439
Ag2 Ag 0.4529 0.7979 0.5551
Ag3 Ag 0.5471 0.2021 0.4449
Ag4 Ag 0.7368 0.2175 0.0561
Hg1 Hg 0.1442 0.2051 0.7522
Hg2 Hg 0.4361 0.6252 0.2558
Hg3 Hg 0.5639 0.3748 0.7442
Hg4 Hg 0.8558 0.7949 0.2478
```

Values from the calculation:
For the polymorph energy (0 for the lowest one), the calculation gives 0.34 kJ per mole of atoms. The space group is P-1 (2). The crystal system is triclinic. As for the total energy: -1.530 eV/atom. The formation energy comes out at -0.25 eV per formula unit. The calculation puts the calculated density at 7562 kg/m3.

---

Below is an optimized crystal structure of K8AgHg2, with properties calculated at the PBE level.

```
data_K8AgHg2
_symmetry_space_group_name_H-M 'P 1'
_symmetry_Int_Tables_number 1
_cell_length_a 10.5197
_cell_length_b 10.5197
_cell_length_c 10.5197
_cell_angle_alpha 147.77
_cell_angle_beta 121.83
_cell_angle_gamma 68.08
loop_
_symmetry_equiv_pos_as_xyz
'x,y,z'
loop_
_atom_site_label
_atom_site_type_symbol
_atom_site_fract_x
_atom_site_fract_y
_atom_site_fract_z
K1 K 0.1206 0.3405 0.7801
K2 K 0.1363 0.1363 0.0000
K3 K 0.3161 0.0000 0.3161
K4 K 0.4395 0.6595 0.7801
K5 K 0.5605 0.3405 0.2199
K6 K 0.6839 0.0000 0.6839
K7 K 0.8637 0.8637 0.0000
K8 K 0.8794 0.6595 0.2199
Ag1 Ag 0.0000 0.5000 0.5000
Hg1 Hg 0.3059 0.8059 0.5000
Hg2 Hg 0.6941 0.1941 0.5000
```

Values from the calculation:
For the polymorph energy (0 for the lowest one), the calculation gives 2.70 kJ per mole of atoms. The space group is Immm (71). The crystal system is orthorhombic. As for the total energy: -1.162 eV/atom. The formation energy comes out at -0.55 eV per formula unit. The calculation puts the calculated density at 2621 kg/m3.